No. 1
# KFe2Si2 GGA-PBE optimized geometry
data_KFe2Si2
_symmetry_space_group_name_H-M 'I 4/m m m'
_symmetry_Int_Tables_number 139
_symmetry_space_group_name_Hall '-I 4 2'
_cell_length_a 4.037
_cell_length_b 4.037
_cell_length_c 9.819
_cell_angle_alpha 90.00
_cell_angle_beta 90.00
_cell_angle_gamma 90.00
loop_
_atom_site_label
_atom_site_type_symbol
_atom_site_fract_x
_atom_site_fract_y
_atom_site_fract_z
K1 K 0.000 0.000 0.000
Fe1 Fe 0.000 0.000 0.379
Si1 Si 0.000 0.500 0.250
# Energy (eV/cell): -53.90
# Size of the total moment (μB/cell): 1.869
# ΔE_f (raw) (kJ/mol of formula units): 185



No. 2
# NiPt2Br GGA-PBE optimized geometry
data_NiPt2Br
_symmetry_space_group_name_H-M 'I -4 2 d'
_symmetry_Int_Tables_number 122
_symmetry_space_group_name_Hall 'I -4 2bw'
_cell_length_a 7.255
_cell_length_b 7.255
_cell_length_c 5.232
_cell_angle_alpha 90.00
_cell_angle_beta 90.00
_cell_angle_gamma 90.00
loop_
_atom_site_label
_atom_site_type_symbol
_atom_site_fract_x
_atom_site_fract_y
_atom_site_fract_z
Ni1 Ni 0.000 0.000 0.000
Pt1 Pt 0.221 0.250 0.125
Br1 Br 0.000 0.000 0.500
# Energy relative to the lowest polymorph listed for this composition (meV per atom): 290
# Energy (eV/cell): -68.88
# Size of the total moment (μB/cell): 0.002
# ΔE_f (raw) (kJ/mol of formula units): 223



No. 3
# Te2As2Br GGA-PBE optimized geometry
data_Te2As2Br
_symmetry_space_group_name_H-M 'I 4/m m m'
_symmetry_Int_Tables_number 139
_symmetry_space_group_name_Hall '-I 4 2'
_cell_length_a 5.468
_cell_length_b 5.468
_cell_length_c 9.268
_cell_angle_alpha 90.00
_cell_angle_beta 90.00
_cell_angle_gamma 90.00
loop_
_atom_site_label
_atom_site_type_symbol
_atom_site_fract_x
_atom_site_fract_y
_atom_site_fract_z
Te1 Te 0.000 0.500 0.250
As1 As 0.000 0.000 0.144
Br1 Br 0.000 0.000 0.500
# Energy relative to the lowest polymorph listed for this composition (meV per atom): 66
# Energy (eV/cell): -33.85
# Size of the total moment (μB/cell): 0.000
# ΔE_f (raw) (kJ/mol of formula units): 32



No. 4
# SmThMg GGA-PBE optimized geometry
data_SmThMg
_symmetry_space_group_name_H-M 'I 4 m m'
_symmetry_Int_Tables_number 107
_symmetry_space_group_name_Hall 'I 4 -2'
_cell_length_a 3.576
_cell_length_b 3.576
_cell_length_c 14.268
_cell_angle_alpha 90.00
_cell_angle_beta 90.00
_cell_angle_gamma 90.00
loop_
_atom_site_label
_atom_site_type_symbol
_atom_site_fract_x
_atom_site_fract_y
_atom_site_fract_z
Sm1 Sm 0.000 0.000 0.000
Th1 Th 0.000 0.000 0.677
Mg1 Mg 0.000 0.000 0.340
# Formation enthalpy at 0 K (kcal/mol of atoms): 0.5
# Energy relative to the lowest polymorph listed for this composition (meV per atom): 50
# Energy (eV/cell): -27.33
# Size of the total moment (μB/cell): 0.000



No. 5
# NaCo3Pd GGA-PBE optimized geometry
data_NaCo3Pd
_symmetry_space_group_name_H-M 'P m -3 m'
_symmetry_Int_Tables_number 221
_symmetry_space_group_name_Hall '-P 4 2 3'
_cell_length_a 4.284
_cell_length_b 4.284
_cell_length_c 4.284
_cell_angle_alpha 90.00
_cell_angle_beta 90.00
_cell_angle_gamma 90.00
loop_
_atom_site_label
_atom_site_type_symbol
_atom_site_fract_x
_atom_site_fract_y
_atom_site_fract_z
Na1 Na 0.000 0.000 0.000
Co1 Co 0.000 0.000 0.500
Pd1 Pd 0.500 0.500 0.500
# Formation enthalpy at 0 K (kcal/mol of atoms): 42.1
# Energy relative to the lowest polymorph listed for this composition (meV per atom): 671
# Energy (eV/cell): -18.71
# Size of the total moment (μB/cell): 5.479



No. 6
# TiBi2Rh2 GGA-PBE optimized geometry
data_TiBi2Rh2
_symmetry_space_group_name_H-M 'P 4/m b m'
_symmetry_Int_Tables_number 127
_symmetry_space_group_name_Hall '-P 4 2ab'
_cell_length_a 6.853
_cell_length_b 6.853
_cell_length_c 4.353
_cell_angle_alpha 90.00
_cell_angle_beta 90.00
_cell_angle_gamma 90.00
loop_
_atom_site_label
_atom_site_type_symbol
_atom_site_fract_x
_atom_site_fract_y
_atom_site_fract_z
Ti1 Ti 0.000 0.000 0.000
Bi1 Bi 0.173 0.327 0.500
Rh1 Rh 0.141 0.641 0.000
# Formation enthalpy at 0 K (kcal/mol of atoms): -1.9
# Energy (eV/cell): -61.52
# Size of the total moment (μB/cell): 0.000